Below is a relaxed Cr2C crystal, with properties calculated at the PBEsol level.

DOS at the Fermi energy: 1.384 states/eV/atom
Formation energy: 0.421 eV per atom
Space group: P6_3/mmc

Cell and atoms, written as extended XYZ:
```
6
Lattice="2.6417 0.0000 0.0000 -1.3209 2.2878 0.0000 0.0000 0.0000 9.6484" Properties=species:S:1:pos:R:3 pbc="T T T"
Cr 0.0000 0.0000 1.1240
Cr 0.0000 0.0000 3.7002
Cr 0.0000 0.0000 5.9482
Cr 0.0000 0.0000 8.5244
C 0.0000 1.5252 2.4121
C 1.3209 0.7626 7.2363
```